(1)
Below is a relaxed ScTcPt crystal, with properties calculated at the PBE level.

abc: 4.5302 4.5302 2.7759
angles: 90.00 90.00 120.00
Space group P3m1 (No. 156)
Asymmetric unit:
Sc: 0.0000 0.0000 0.0000 (multiplicity 1)
Tc: 0.6667 0.3333 0.2510 (multiplicity 1)
Pt: 0.3333 0.6667 0.6625 (multiplicity 1)

Computed properties:
The energy of formation is -0.55 eV per formula unit.

(2)
Below is a relaxed Sm4CdC2 crystal, with properties calculated at the PBE level.

abc: 3.6446 3.6446 45.0847
angles: 90.00 90.00 120.00
Space group R-3m (No. 166, hexagonal axes)
Asymmetric unit:
Sm: 0.0000 0.0000 0.1241 (multiplicity 6)
Sm: 0.0000 0.0000 0.2714 (multiplicity 6)
Cd: 0.0000 0.0000 0.0000 (multiplicity 3)
C: 0.0000 0.0000 0.4275 (multiplicity 6)

Computed properties:
The energy of formation is -1.27 eV per formula unit.

(3)
Below is a relaxed Tl3Co crystal, with properties calculated at the PBE level.

abc: 3.288 3.288 8.794
angles: 90.00 90.00 90.00
Space group P4/mmm (No. 123)
Asymmetric unit:
Tl: 0.000 0.000 0.000 (multiplicity 1)
Tl: 0.500 0.500 0.314 (multiplicity 2)
Co: 0.000 0.000 0.500 (multiplicity 1)

Computed properties:
The energy of formation is 1.52 eV per formula unit.

(4)
Below is a relaxed Pr3SmPt8 crystal, with properties calculated at the PBE level.

abc: 5.5239 5.5239 27.0869
angles: 90.00 90.00 120.00
Space group R3m (No. 160, hexagonal axes)
Asymmetric unit:
Pr: 0.0000 0.0000 0.0000 (multiplicity 3)
Pr: 0.0000 0.0000 0.1254 (multiplicity 3)
Pr: 0.0000 0.0000 0.5008 (multiplicity 3)
Sm: 0.0000 0.0000 0.6256 (multiplicity 3)
Pt: 0.0000 0.0000 0.3128 (multiplicity 3)
Pt: 0.0000 0.0000 0.8129 (multiplicity 3)
Pt: 0.0002 0.5001 0.5634 (multiplicity 9)
Pt: 0.1671 0.3341 0.3958 (multiplicity 9)

Computed properties:
The energy of formation is -12.62 eV per formula unit.

(5)
Below is a relaxed KSnPd2Pb2 crystal, with properties calculated at the PBE level.

abc: 5.082 5.082 6.916
angles: 90.00 90.00 90.00
Space group P4/mmm (No. 123)
Asymmetric unit:
K: 0.000 0.000 0.000 (multiplicity 1)
Sn: 0.000 0.000 0.500 (multiplicity 1)
Pd: 0.000 0.500 0.500 (multiplicity 2)
Pb: 0.500 0.500 0.261 (multiplicity 2)

Computed properties:
The energy of formation is -1.24 eV per formula unit.